# ZnInAgSb

Crystalline ZnInAgSb at its relaxed geometry (PBE-GGA, the Alexandria database).

```
ZnInAgSb
1.0
0.0000 3.5639 3.5639
3.5639 0.0000 3.5639
3.5639 3.5639 0.0000
Zn In Ag Sb
1 1 1 1
Cartesian
0.0000 0.0000 0.0000
1.7820 1.7820 1.7820
3.5639 3.5639 3.5639
5.3459 5.3459 5.3459
```

The formation energy (no corrections) is 0.153 eV per atom. The uncorrected energy comes out at -10.4 eV/cell. The density of states at the Fermi level is 0.56 states/eV per atom. As for the space group: No. 216. The magnetic moment comes out at 0.00 μB/f.u.